The following is a DFT calculation (GGA-PBE) of crystalline CsSr2As at its relaxed geometry.

```
CsSr2As
1.0
0.0000 4.1379 4.1379
4.1379 0.0000 4.1379
4.1379 4.1379 0.0000
Cs Sr As
1 2 1
Cartesian
0.0000 0.0000 0.0000
2.0689 2.0689 2.0689
6.2068 6.2068 6.2068
4.1379 4.1379 4.1379
```

Calculated values
Formation energy from the elements   -5.7 kJ per mole of atoms
Energy above the most stable polymorph in this dataset   0.2635 eV per atom
Raw total energy   -2.275 eV per atom
N(E_F)   4.87 states/eV per cell
Space-group type   No. 225

---

The following is a DFT calculation (GGA-PBE) of crystalline CoSiAg3 at its relaxed geometry.

```
CoSiAg3
1.0
4.7025 0.0000 0.0000
0.0000 4.7025 0.0000
0.0000 0.0000 4.7025
Co Si Ag
1 1 3
Cartesian
0.0000 0.0000 0.0000
2.3513 2.3513 2.3513
0.0000 2.3513 2.3513
2.3513 0.0000 2.3513
2.3513 2.3513 0.0000
```

Calculated values
Energy above the most stable polymorph in this dataset   0.0000 eV per atom
Raw total energy   -3.312 eV per atom
Formation energy from raw total energies   0.90 eV per atom
N(E_F)   1.83 states/eV per cell
Space-group type   No. 221

---

The following is a DFT calculation (GGA-PBE) of crystalline KZnTe2 at its relaxed geometry.

```
KZnTe2
1.0
0.0000 3.9298 3.9298
3.9298 0.0000 3.9298
3.9298 3.9298 0.0000
K Zn Te
1 1 2
Cartesian
0.0000 0.0000 0.0000
5.8948 5.8948 5.8948
1.9649 1.9649 1.9649
3.9298 3.9298 3.9298
```

Calculated values
Raw total energy   -2.188 eV per atom
Formation energy from raw total energies   -0.02 eV per atom
N(E_F)   3.46 states/eV per cell
Space-group type   No. 216

---

The following is a DFT calculation (GGA-PBE) of crystalline Ba2Sr3Ca8 at its relaxed geometry.

```
Ba2Sr3Ca8
1.0
3.6561 2.1108 14.4672
-3.6561 2.1108 14.4672
0.0000 -4.2217 14.4672
Ba Sr Ca
2 3 8
Cartesian
0.0000 0.0000 6.0879
0.0000 0.0000 37.3137
0.0000 0.0000 13.7809
0.0000 0.0000 21.7008
0.0000 0.0000 29.6206
0.0000 0.0000 9.9737
0.0000 -2.1010 17.1957
-1.8196 1.0505 17.1957
-1.8196 -1.0505 26.2059
1.8196 1.0505 17.1957
1.8196 -1.0505 26.2059
0.0000 2.1010 26.2059
0.0000 0.0000 33.4279
```

Calculated values
Formation energy from the elements   11.8 kJ per mole of atoms
Energy above the most stable polymorph in this dataset   0.0137 eV per atom
Raw total energy   -1.794 eV per atom
N(E_F)   15.69 states/eV per cell
Space-group type   No. 166

---

The following is a DFT calculation (GGA-PBE) of crystalline In2Ag7SnAu2 at its relaxed geometry.

```
In2Ag7SnAu2
1.0
-2.4269 9.1361 2.6255
2.4269 -9.1361 2.6255
2.4269 9.1361 -2.6255
In Ag Sn Au
2 7 1 2
Cartesian
0.0000 3.0903 0.0000
0.0000 15.1819 0.0000
0.0000 0.0000 0.2317
2.4269 -2.9588 2.1387
2.4269 7.6539 0.2431
2.4269 2.9588 2.1387
0.0000 1.4822 2.8686
0.0000 7.6314 2.0087
0.0000 10.6408 2.0087
2.4269 0.0000 1.9824
2.4269 4.6139 -0.1932
0.0000 4.5222 2.4323
```

Calculated values
Formation energy from the elements   -4.4 kJ per mole of atoms
Raw total energy   -3.045 eV per atom
N(E_F)   3.15 states/eV per cell
Space-group type   No. 44

---

The following is a DFT calculation (GGA-PBE) of crystalline Na3Cd9Sn2 at its relaxed geometry.

```
Na3Cd9Sn2
1.0
-2.4685 5.2169 7.2105
2.4685 -5.2169 7.2105
2.4685 5.2169 -7.2105
Na Cd Sn
3 9 2
Cartesian
0.0000 0.0000 0.0000
0.0000 0.0000 4.3458
0.0000 0.0000 10.0752
2.4685 -1.4144 2.4605
2.4685 -2.2962 5.2549
2.4685 1.4144 2.4605
0.0000 2.9207 1.9556
0.0000 5.2169 0.0000
2.4685 2.2962 5.2549
0.0000 3.8025 4.7500
0.0000 7.5131 1.9556
0.0000 6.6312 4.7500
2.4685 3.1397 0.0000
0.0000 2.0772 7.2105
```

Calculated values
Formation energy from the elements   -5.4 kJ per mole of atoms
Raw total energy   -1.499 eV per atom
N(E_F)   5.38 states/eV per cell
Space-group type   No. 71

---

The following is a DFT calculation (GGA-PBE) of crystalline CuRu2Pb at its relaxed geometry.

```
CuRu2Pb
1.0
1.5281 0.8822 8.1763
-1.5281 0.8822 8.1763
0.0000 -1.7645 8.1763
Cu Ru Pb
1 2 1
Cartesian
0.0000 0.0000 0.0000
0.0000 0.0000 6.2825
0.0000 0.0000 18.2464
0.0000 0.0000 12.2645
```

Calculated values
Formation energy from the elements   70.4 kJ per mole of atoms
Raw total energy   -5.859 eV per atom
N(E_F)   5.34 states/eV per cell
Space-group type   No. 166

---

The following is a DFT calculation (GGA-PBE) of crystalline Tb4YTl2 at its relaxed geometry.

```
Tb4YTl2
1.0
2.7535 1.5897 8.8073
-2.7535 1.5897 8.8073
0.0000 -3.1794 8.8073
Tb Y Tl
4 1 2
Cartesian
0.0000 0.0000 3.4600
0.0000 0.0000 6.9605
0.0000 0.0000 19.4613
0.0000 0.0000 22.9618
0.0000 0.0000 13.2109
0.0000 0.0000 10.0801
0.0000 0.0000 16.3417
```

Calculated values
Formation energy from the elements   6.0 kJ per mole of atoms
Energy above the most stable polymorph in this dataset   0.0000 eV per atom
Raw total energy   -4.183 eV per atom
N(E_F)   11.77 states/eV per cell
Space-group type   No. 166

---

The following is a DFT calculation (GGA-PBE) of crystalline Y6ErIn3 at its relaxed geometry.

```
Y6ErIn3
1.0
5.3283 -7.7087 0.0000
5.3283 7.7087 0.0000
0.0000 0.0000 7.5932
Y Er In
12 2 6
Cartesian
5.3283 7.0353 3.7966
2.8457 2.9166 7.5477
2.8855 0.5188 5.1579
5.3283 3.1228 4.8956
2.8855 -0.5188 1.3613
2.8457 -2.9166 3.7511
7.8109 2.9166 7.5477
7.7711 0.5188 5.1579
5.3283 -3.1228 1.0989
7.7711 -0.5188 1.3613
7.8109 -2.9166 3.7511
5.3283 -7.0353 0.0000
5.3283 4.6765 1.5376
5.3283 -4.6765 5.3342
1.5389 2.0454 2.6733
1.5389 -2.0454 6.4700
5.3283 0.8814 7.3067
5.3283 -0.8814 3.5101
9.1177 2.0454 2.6733
9.1177 -2.0454 6.4700
```

Calculated values
Formation energy from the elements   -14.9 kJ per mole of atoms
Energy above the most stable polymorph in this dataset   0.1342 eV per atom
Raw total energy   -5.311 eV per atom
N(E_F)   27.89 states/eV per cell
Space-group type   No. 36

---

The following is a DFT calculation (GGA-PBE) of crystalline Ba2SrPaSe6 at its relaxed geometry.

```
Ba2SrPaSe6
1.0
7.6621 0.0000 0.0000
0.0000 8.1745 0.0000
-7.2747 0.0000 10.9263
Ba Sr Pa Se
4 2 2 12
Cartesian
-0.1385 0.6446 2.6506
-3.7758 3.4427 8.1137
4.1633 4.7319 2.8126
0.5259 7.5299 8.2757
-3.6373 0.0000 5.4632
0.0000 4.0873 0.0000
3.8311 0.0000 0.0000
0.1937 4.0873 5.4632
-5.6890 1.5251 10.3518
-2.0517 2.5622 4.8886
-4.8348 5.8668 10.2020
-1.1975 6.3950 4.7388
-2.6272 0.3150 8.3195
1.0101 3.7723 2.8564
-0.6227 4.4022 8.0700
3.0146 7.8596 2.6068
1.5849 1.7796 6.1875
5.2223 2.3077 0.7243
2.4391 5.6124 6.0377
6.0765 6.6495 0.5746
```

Calculated values
Raw total energy   -5.247 eV per atom
Formation energy from raw total energies   -1.65 eV per atom
N(E_F)   23.74 states/eV per cell
Space-group type   No. 14

---

The following is a DFT calculation (GGA-PBE) of crystalline HoScHg5 at its relaxed geometry.

```
HoScHg5
1.0
4.8956 0.0000 0.0000
0.0000 4.8956 0.0000
0.0000 0.0000 7.1524
Ho Sc Hg
1 1 5
Cartesian
0.0000 0.0000 0.0000
2.4478 2.4478 3.5762
0.0000 2.4478 1.9981
0.0000 2.4478 5.1543
2.4478 0.0000 1.9981
2.4478 0.0000 5.1543
2.4478 2.4478 0.0000
```

Calculated values
Formation energy from the elements   -21.1 kJ per mole of atoms
Raw total energy   -1.993 eV per atom
N(E_F)   3.87 states/eV per cell
Space-group type   No. 123

---

The following is a DFT calculation (GGA-PBE) of crystalline Na2LaAlF8 at its relaxed geometry.

```
Na2LaAlF8
1.0
4.8880 0.0000 0.0000
0.0000 6.8738 0.0000
-0.0076 0.0000 5.2033
Na La Al F
2 1 1 8
Cartesian
0.0000 1.5174 0.0000
0.0000 5.3563 0.0000
2.4402 3.4369 2.6016
2.4402 0.0000 2.6016
0.7779 3.4369 1.0926
1.1548 0.0000 1.3515
1.5862 1.3820 3.5368
1.5862 5.4918 3.5368
3.2941 1.3820 1.6665
3.2941 5.4918 1.6665
3.7256 0.0000 3.8518
4.1025 3.4369 4.1107
```

Calculated values
Raw total energy   -5.647 eV per atom
Formation energy from raw total energies   -3.46 eV per atom
N(E_F)   0.00 states/eV per cell
Space-group type   No. 10

---

Q: Look up the N(E_F) of the tenth one.
A: 23.74 states/eV per cell

---

What did the twelfth record say?
The following is a DFT calculation (GGA-PBE) of crystalline Na2LaAlF8 at its relaxed geometry.

```
Na2LaAlF8
1.0
4.8880 0.0000 0.0000
0.0000 6.8738 0.0000
-0.0076 0.0000 5.2033
Na La Al F
2 1 1 8
Cartesian
0.0000 1.5174 0.0000
0.0000 5.3563 0.0000
2.4402 3.4369 2.6016
2.4402 0.0000 2.6016
0.7779 3.4369 1.0926
1.1548 0.0000 1.3515
1.5862 1.3820 3.5368
1.5862 5.4918 3.5368
3.2941 1.3820 1.6665
3.2941 5.4918 1.6665
3.7256 0.0000 3.8518
4.1025 3.4369 4.1107
```

Calculated values
Raw total energy   -5.647 eV per atom
Formation energy from raw total energies   -3.46 eV per atom
N(E_F)   0.00 states/eV per cell
Space-group type   No. 10

---

Q: N(E_F) of number 11 (HoScHg5)?
A: 3.87 states/eV per cell

---

Repeat the eighth record exactly.
The following is a DFT calculation (GGA-PBE) of crystalline Tb4YTl2 at its relaxed geometry.

```
Tb4YTl2
1.0
2.7535 1.5897 8.8073
-2.7535 1.5897 8.8073
0.0000 -3.1794 8.8073
Tb Y Tl
4 1 2
Cartesian
0.0000 0.0000 3.4600
0.0000 0.0000 6.9605
0.0000 0.0000 19.4613
0.0000 0.0000 22.9618
0.0000 0.0000 13.2109
0.0000 0.0000 10.0801
0.0000 0.0000 16.3417
```

Calculated values
Formation energy from the elements   6.0 kJ per mole of atoms
Energy above the most stable polymorph in this dataset   0.0000 eV per atom
Raw total energy   -4.183 eV per atom
N(E_F)   11.77 states/eV per cell
Space-group type   No. 166